[1]
Here is a geometry-optimized BaHfMgF2 structure from the Alexandria database. Energies are from GGA-PBE.

The structure in POSCAR format:
```
BaHfMgF2
1.0
4.830 0.000 0.000
0.000 8.373 0.000
0.000 0.000 4.830
F Ba Hf Mg
2 1 1 1
direct
0.500 0.000 0.000
0.000 0.000 0.500
0.000 0.000 0.000
0.000 0.500 0.000
0.500 0.500 0.500
```

Results
Symmetry ... No. 123
ΔE_f (raw) ... -0.97 eV/atom

[2]
Here is a geometry-optimized BaNa2HfF8 structure from the Alexandria database. Energies are from GGA-PBE.

The structure in POSCAR format:
```
BaNa2HfF8
1.0
-1.460 0.295 4.331
4.314 -3.066 1.769
4.219 6.491 0.983
F Na Ba Hf
8 2 1 1
direct
0.146 0.788 0.806
0.854 0.212 0.806
0.340 0.221 0.000
0.854 0.212 0.194
0.146 0.788 0.194
0.660 0.779 0.000
0.543 0.741 0.500
0.457 0.259 0.500
0.500 0.500 0.257
0.500 0.500 0.743
0.000 0.000 0.500
0.000 0.000 0.000
```

Results
Symmetry ... No. 2
ΔE_f (raw) ... -3.47 eV/atom

[3]
Here is a geometry-optimized BaHfOs2F structure from the Alexandria database. Energies are from GGA-PBE.

The structure in POSCAR format:
```
BaHfOs2F
1.0
4.737 0.000 0.000
0.000 7.247 0.000
0.000 0.000 4.737
F Ba Os Hf
1 1 2 1
direct
0.500 0.500 0.500
0.000 0.500 0.000
0.000 0.000 0.500
0.500 0.000 0.000
0.000 0.000 0.000
```

Results
Symmetry ... No. 123
ΔE_f (raw) ... 0.89 eV/atom

[4]
Here is a geometry-optimized BaHf2RhF structure from the Alexandria database. Energies are from GGA-PBE.

The structure in POSCAR format:
```
BaHf2RhF
1.0
-0.614 1.621 -4.143
3.813 -3.129 -1.789
-3.023 -3.220 -0.812
F Rh Ba Hf
1 1 1 2
direct
0.000 0.000 0.000
0.500 0.500 0.500
0.000 0.500 0.000
0.500 0.000 0.000
0.000 0.000 0.500
```

Results
Symmetry ... No. 123
ΔE_f (raw) ... -0.20 eV/atom

[5]
Here is a geometry-optimized BaHfRuF2 structure from the Alexandria database. Energies are from GGA-PBE.

The structure in POSCAR format:
```
BaHfRuF2
1.0
4.560 0.000 0.000
0.000 9.103 0.000
0.000 0.000 4.560
Hf F Ru Ba
1 2 1 1
direct
0.000 0.500 0.000
0.500 0.000 0.000
0.000 0.000 0.500
0.500 0.500 0.500
0.000 0.000 0.000
```

Results
Symmetry ... No. 123
ΔE_f (raw) ... -0.52 eV/atom

[6]
Here is a geometry-optimized BaHf2ScF structure from the Alexandria database. Energies are from GGA-PBE.

The structure in POSCAR format:
```
BaHf2ScF
1.0
6.045 0.000 0.000
0.000 6.045 0.000
0.000 0.000 3.914
Ba Sc Hf F
1 1 2 1
direct
0.500 0.500 0.500
0.000 0.000 0.000
0.000 0.500 0.000
0.500 0.000 0.000
0.000 0.000 0.500
```

Results
Symmetry ... No. 123
ΔE_f (raw) ... 0.18 eV/atom

[7]
Here is a geometry-optimized BaHg3F structure from the Alexandria database. Energies are from GGA-PBE.

The structure in POSCAR format:
```
BaHg3F
1.0
5.366 0.000 0.000
0.000 5.366 0.000
0.000 0.000 5.366
Ba Hg F
1 3 1
direct
0.500 0.500 0.500
0.500 0.000 0.000
0.000 0.000 0.500
0.000 0.500 0.000
0.000 0.000 0.000
```

Results
Symmetry ... No. 221
ΔE_f (raw) ... -0.70 eV/atom
Energy above the lowest structure with this stoichiometry ... 0.0000 eV/atom

[8]
Here is a geometry-optimized Ba2HgF structure from the Alexandria database. Energies are from GGA-PBE.

The structure in POSCAR format:
```
Ba2HgF
1.0
-0.209 -3.002 7.275
-6.904 -3.423 -1.611
-1.258 -7.121 1.285
F Ba Hg
2 4 2
direct
0.500 0.500 0.000
0.250 0.750 0.500
0.550 0.125 0.250
0.875 0.800 0.750
0.375 0.450 0.750
0.200 0.625 0.250
0.750 0.250 0.500
0.000 0.000 0.000
```

Results
Symmetry ... No. 122
ΔE_f (raw) ... -1.54 eV/atom
Energy above the lowest structure with this stoichiometry ... 0.0000 eV/atom